LaRu2 | PBE-GGA | relaxed

## Properties
- ΔH_f (0 K): 288 meV per atom
- Space-group type: Cm, No. 8

Cell: 10.435 3.109 7.172 Å, 90.00 107.10 90.00°
Atoms (fractional coordinates):
La: 0.000 0.000 0.000
La: 0.155 0.500 0.397
La: 0.500 0.500 0.000
La: 0.655 0.000 0.397
Ru: 0.032 0.000 0.641
Ru: 0.236 0.500 0.956
Ru: 0.323 0.000 0.690
Ru: 0.354 0.000 0.290
Ru: 0.532 0.500 0.641
Ru: 0.736 0.000 0.956
Ru: 0.823 0.500 0.690
Ru: 0.854 0.500 0.290

LiZn2CdAg | PBE-GGA | relaxed

## Properties
- ΔH_f (0 K): -86 meV per atom
- Space-group type: Cmcm, No. 63

Cell: 5.363 5.363 8.304 Å, 90.00 90.00 131.33°
Atoms (fractional coordinates):
Li: 0.036 0.964 0.750
Li: 0.964 0.036 0.250
Zn: 0.201 0.799 0.066
Zn: 0.201 0.799 0.434
Zn: 0.799 0.201 0.566
Zn: 0.799 0.201 0.934
Cd: 0.500 0.500 0.000
Cd: 0.500 0.500 0.500
Ag: 0.309 0.691 0.750
Ag: 0.691 0.309 0.250

LiNpAs | PBE-GGA | relaxed

## Properties
- Polymorph energy (0 for the lowest one): 9.9 kJ per mole of atoms
- ΔH_f (0 K): -260 meV per atom
- Space-group type: F-43m, No. 216

Cell: 6.590 6.590 6.590 Å, 90.00 90.00 90.00°
Atoms (fractional coordinates):
Li: 0.000 0.000 0.000
Li: 0.000 0.500 0.500
Li: 0.500 0.000 0.500
Li: 0.500 0.500 0.000
Np: 0.000 0.000 0.500
Np: 0.000 0.500 0.000
Np: 0.500 0.000 0.000
Np: 0.500 0.500 0.500
As: 0.250 0.250 0.250
As: 0.250 0.750 0.750
As: 0.750 0.250 0.750
As: 0.750 0.750 0.250

GaHgSe2N | PBE-GGA | relaxed

## Properties
- Formation energy (no corrections): 0.646 eV per atom
- Polymorph energy (0 for the lowest one): 0.0 kJ per mole of atoms
- Space-group type: P4/mmm, No. 123

Cell: 5.331 5.331 3.665 Å, 90.00 90.00 90.00°
Atoms (fractional coordinates):
Ga: 0.000 0.000 0.000
Hg: 0.500 0.500 0.500
Se: 0.000 0.500 0.000
Se: 0.500 0.000 0.000
N: 0.000 0.000 0.500

Pr3PaO6 | PBE-GGA | relaxed

## Properties
- Formation energy (no corrections): -3.242 eV per atom
- Space-group type: R-3, No. 148

Cell: 7.058 7.058 7.058 Å, 88.76 88.76 88.76°
Atoms (fractional coordinates):
Pr: 0.022 0.741 0.564
Pr: 0.259 0.436 0.978
Pr: 0.436 0.978 0.259
Pr: 0.564 0.022 0.741
Pr: 0.741 0.564 0.022
Pr: 0.978 0.259 0.436
Pa: 0.000 0.000 0.000
Pa: 0.500 0.500 0.500
O: 0.048 0.700 0.923
O: 0.077 0.952 0.300
O: 0.193 0.447 0.607
O: 0.300 0.077 0.952
O: 0.393 0.807 0.553
O: 0.447 0.607 0.193
O: 0.553 0.393 0.807
O: 0.607 0.193 0.447
O: 0.700 0.923 0.048
O: 0.807 0.553 0.393
O: 0.923 0.048 0.700
O: 0.952 0.300 0.077

ZnHgTe2 | PBE-GGA | relaxed

## Properties
- Formation energy (no corrections): -0.308 eV per atom
- Space-group type: P1, No. 1

Cell: 4.517 7.837 7.870 Å, 99.25 90.01 106.73°
Atoms (fractional coordinates):
Zn: 0.000 0.000 0.000
Zn: 0.255 0.510 0.761
Hg: 0.504 0.012 0.515
Hg: 0.753 0.501 0.251
Te: 0.183 0.362 0.048
Te: 0.436 0.873 0.833
Te: 0.700 0.400 0.587
Te: 0.943 0.888 0.305